1.
## Pr8AgSe6 (PBE-GGA)

Data for Pr8AgSe6 after structural relaxation.

Output
ΔE_f (raw): -124.78 kJ/mol of atoms
DOS at the Fermi energy: 1.02 states/eV/atom
total magnetization: 0.00 μB/f.u.
total energy: -5.43 eV/atom
crystal system: trigonal

Cell lengths 4.2892, 10.9810, 10.9810 Å; angles 120.00, 90.00, 90.00 degrees
Last column: nearest neighbours and their distance in Å.
Sites, in units of the cell vectors:
Se 0.7492 0.4837 0.3524  6 Pr 2.93-3.13
Pr 0.7508 0.3333 0.6667  6 Se 3.02
Ag 0.5000 0.0000 0.0000  6 Pr 3.57
Se 0.7492 0.6476 0.1313  6 Pr 2.93-3.13
Se 0.2508 0.1313 0.4837  6 Pr 2.93-3.13
Se 0.2508 0.5163 0.6476  6 Pr 2.93-3.13
Pr 0.7509 0.7092 0.6733  4 Se 2.93-3.13
Pr 0.2491 0.2908 0.3267  4 Se 2.93-3.13
Pr 0.7509 0.3267 0.0359  4 Se 2.93-3.13
Pr 0.2492 0.6667 0.3333  6 Se 3.02
Se 0.2508 0.3524 0.8687  6 Pr 2.93-3.13
Pr 0.2491 0.6733 0.9641  4 Se 2.93-3.13
Pr 0.2491 0.0359 0.7092  4 Se 2.93-3.13
Pr 0.7509 0.9641 0.2908  4 Se 2.93-3.13
Se 0.7492 0.8687 0.5163  6 Pr 2.93-3.13

---

2.
## Pr2Ag4Se5 (PBE-GGA)

Data for Pr2Ag4Se5 after structural relaxation.

Output
ΔE_f (raw): -71.87 kJ/mol of atoms
DOS at the Fermi energy: 0.38 states/eV/atom
total magnetization: 0.00 μB/f.u.
total energy: -4.23 eV/atom
crystal system: trigonal

Cell lengths 4.3326, 4.3326, 18.2178 Å; angles 83.17, 83.17, 60.00 degrees
Last column: nearest neighbours and their distance in Å.
Sites, in units of the cell vectors:
Se 0.3668 0.3668 0.8996  4 Ag 2.57
Se 0.5000 0.5000 0.5000  6 Pr 3.06
Ag 0.5857 0.5857 0.2429  4 Se 2.57-2.78
Se 0.6332 0.6332 0.1004  4 Ag 2.57
Pr 0.1341 0.1341 0.5976  6 Se 3.00-3.06
Pr 0.8659 0.8659 0.4024  6 Se 3.00-3.06
Ag 0.6891 0.6891 0.9327  3 Se 2.57
Se 0.2299 0.2299 0.3104  3 Ag 2.78, 3 Pr 3.00
Ag 0.3109 0.3109 0.0673  3 Se 2.57
Se 0.7701 0.7701 0.6896  3 Ag 2.78, 3 Pr 3.00
Ag 0.4143 0.4143 0.7571  4 Se 2.57-2.78

---

3.
## Pr3AgSe (PBE-GGA)

Data for Pr3AgSe after structural relaxation.

Output
ΔE_f (raw): -71.97 kJ/mol of atoms
DOS at the Fermi energy: 1.07 states/eV/atom
total magnetization: 0.00 μB/f.u.
total energy: -4.88 eV/atom
crystal system: orthorhombic

Cell lengths 4.0921, 9.2906, 16.1655 Å; angles 90.00, 90.00, 90.00 degrees
Last column: nearest neighbours and their distance in Å.
Sites, in units of the cell vectors:
Pr 0.2500 0.8487 0.9485  2 Se 2.98, 2 Ag 3.15
Se 0.2500 0.8083 0.5475  6 Pr 2.94-2.99
Se 0.2500 0.3083 0.9525  6 Pr 2.94-2.99
Ag 0.2500 0.0995 0.1969  7 Pr 3.15-3.34
Pr 0.7500 0.3207 0.2863  1 Se 2.94, 2 Ag 3.24
Pr 0.7500 0.8207 0.2137  1 Se 2.94, 2 Ag 3.24
Pr 0.2500 0.3487 0.5515  2 Se 2.98, 2 Ag 3.15
Pr 0.2500 0.4837 0.1074  3 Se 2.98-2.99
Ag 0.7500 0.4005 0.6969  7 Pr 3.15-3.34
Pr 0.7500 0.0163 0.6074  3 Se 2.98-2.99
Se 0.7500 0.1917 0.4525  6 Pr 2.94-2.99
Ag 0.7500 0.9005 0.8031  7 Pr 3.15-3.34
Ag 0.2500 0.5995 0.3031  7 Pr 3.15-3.34
Pr 0.2500 0.9837 0.3926  3 Se 2.98-2.99
Pr 0.2500 0.6793 0.7137  1 Se 2.94, 2 Ag 3.24
Pr 0.2500 0.1793 0.7863  1 Se 2.94, 2 Ag 3.24
Pr 0.7500 0.1513 0.0515  2 Se 2.98, 2 Ag 3.15
Pr 0.7500 0.6513 0.4485  2 Se 2.98, 2 Ag 3.15
Se 0.7500 0.6917 0.0475  6 Pr 2.94-2.99
Pr 0.7500 0.5163 0.8926  3 Se 2.98-2.99

---

4.
## Pr6AgSe5 (PBE-GGA)

Data for Pr6AgSe5 after structural relaxation.

Output
ΔE_f (raw): -152.68 kJ/mol of atoms
DOS at the Fermi energy: 0.47 states/eV/atom
total magnetization: 0.00 μB/f.u.
total energy: -5.66 eV/atom
crystal system: monoclinic

Cell lengths 7.4160, 7.4202, 7.4252 Å; angles 60.02, 80.40, 70.50 degrees
Last column: nearest neighbours and their distance in Å.
Sites, in units of the cell vectors:
Pr 0.7464 0.0833 0.3416  5 Se 2.98-3.04, 1 Ag 3.09
Se 0.0000 0.3342 0.3316  6 Pr 3.01-3.03
Pr 0.7467 0.7442 0.0000  5 Se 2.97-3.03, 1 Ag 3.08
Pr 0.2536 0.9167 0.6584  5 Se 2.98-3.04, 1 Ag 3.09
Pr 0.2536 0.5751 0.3416  5 Se 2.98-3.04, 1 Ag 3.09
Ag 0.0000 0.0000 0.0000  6 Pr 3.08-3.09
Se 0.0000 0.6658 0.6684  6 Pr 3.01-3.03
Pr 0.7464 0.4249 0.6584  5 Se 2.98-3.04, 1 Ag 3.09
Pr 0.2533 0.2558 0.0000  5 Se 2.97-3.03, 1 Ag 3.08
Se 0.5000 0.5000 0.0000  6 Pr 2.97-3.04
Se 0.5000 0.1653 0.6694  6 Pr 2.98-3.03
Se 0.5000 0.8347 0.3306  6 Pr 2.98-3.03